A plane-wave DFT calculation with PBE-GGA was carried out for NaPaSe4 after structural relaxation.

POSCAR file:
```
NaPaSe4
1.0
-3.7142 3.7142 5.7378
3.7142 -3.7142 5.7378
3.7142 3.7142 -5.7378
Na Pa Se
2 2 8
Cartesian
3.7142 1.8571 1.4344 Na
0.0000 1.8571 4.3033 Na
3.7142 -1.8571 4.3033 Pa
0.0000 5.5714 1.4344 Pa
1.7558 0.0000 0.0000 Se
5.6727 0.0000 0.0000 Se
1.8571 3.6129 -2.8689 Se
1.8571 -0.1014 2.8689 Se
1.7558 3.7142 0.0000 Se
1.9585 0.0000 5.7378 Se
-1.8571 3.8156 2.8689 Se
1.8571 3.8156 2.8689 Se
```

Results
Space group: I4_1/amd
ΔE_f (raw), eV per atom: -1.0125
Energy above the lowest structure with this stoichiometry, meV/atom: 0.0
Magnetization, μB per cell: 0.0


A plane-wave DFT calculation with PBE-GGA was carried out for NaPa4Se7 after structural relaxation.

POSCAR file:
```
NaPa4Se7
1.0
4.0953 0.0000 0.0000
-2.0476 3.5466 0.0000
0.0000 0.0000 24.3312
Na Pa Se
1 4 7
Cartesian
0.0000 0.0000 0.0000 Na
0.0000 2.3644 3.6419 Pa
0.0000 2.3644 10.5508 Pa
2.0476 1.1822 13.7804 Pa
2.0476 1.1822 20.6893 Pa
0.0000 0.0000 5.2192 Se
0.0000 0.0000 12.1656 Se
0.0000 0.0000 19.1119 Se
0.0000 2.3644 15.3872 Se
0.0000 2.3644 22.4361 Se
2.0476 1.1822 1.8950 Se
2.0476 1.1822 8.9439 Se
```

Results
Space group: P-3m1
ΔE_f (raw), eV per atom: -1.3039
Magnetization, μB per cell: 3.0


A plane-wave DFT calculation with PBE-GGA was carried out for Na4Pa3Se8 after structural relaxation.

POSCAR file:
```
Na4Pa3Se8
1.0
4.1974 2.4234 7.5499
-4.1974 2.4234 7.5499
0.0000 -4.8468 7.5499
Na Pa Se
4 3 8
Cartesian
0.0000 0.0000 0.0000 Na
0.0000 0.0000 3.1662 Na
0.0000 0.0000 11.3249 Na
0.0000 0.0000 19.4836 Na
-2.0987 -1.2117 7.5499 Pa
-2.0987 1.2117 15.0999 Pa
0.0000 2.4234 7.5499 Pa
0.0000 -2.2961 9.1651 Se
-1.9884 1.1480 9.1651 Se
0.0000 0.0000 5.9950 Se
-1.9884 -1.1480 13.4847 Se
1.9884 1.1480 9.1651 Se
0.0000 0.0000 16.6548 Se
1.9884 -1.1480 13.4847 Se
0.0000 2.2961 13.4847 Se
```

Results
Space group: R-3m
ΔE_f (raw), eV per atom: -1.2868
Magnetization, μB per cell: 3.0


A plane-wave DFT calculation with PBE-GGA was carried out for Na5PaSe5 after structural relaxation.

POSCAR file:
```
Na5PaSe5
1.0
6.9651 -2.8721 0.0000
6.9651 2.8721 0.0000
-2.6045 0.0000 7.8842
Na Pa Se
5 1 5
Cartesian
0.0000 0.0000 0.0000 Na
3.8038 0.0000 1.3770 Na
2.7343 0.0000 5.0308 Na
8.5913 0.0000 2.8534 Na
7.5219 0.0000 6.5072 Na
-1.3023 0.0000 3.9421 Pa
1.1252 0.0000 2.6005 Se
0.0116 0.0000 6.4045 Se
5.6628 0.0000 3.9421 Se
11.3141 0.0000 1.4797 Se
10.2005 0.0000 5.2836 Se
```

Results
Space group: C2/m
ΔE_f (raw), eV per atom: -1.2364
Magnetization, μB per cell: 0.0


A plane-wave DFT calculation with PBE-GGA was carried out for Na5PaSe6 after structural relaxation.

POSCAR file:
```
Na5PaSe6
1.0
3.6900 -6.4318 0.0000
3.6900 6.4318 0.0000
-2.5429 0.0000 6.8341
Na Pa Se
5 1 6
Cartesian
0.0000 0.0000 0.0000 Na
2.4185 4.2728 3.4170 Na
3.6900 2.2933 0.0000 Na
3.6900 -2.2933 0.0000 Na
2.4185 -4.2728 3.4170 Na
2.4185 0.0000 3.4170 Pa
1.3025 1.9775 1.8022 Se
0.1454 0.0000 5.0160 Se
1.3025 -1.9775 1.8022 Se
3.5345 1.9775 5.0319 Se
4.6917 0.0000 1.8180 Se
3.5345 -1.9775 5.0319 Se
```

Results
Space group: C2/m
ΔE_f (raw), eV per atom: -1.0480
Magnetization, μB per cell: 2.0


A plane-wave DFT calculation with PBE-GGA was carried out for NaPa3Se6 after structural relaxation.

POSCAR file:
```
NaPa3Se6
1.0
11.6193 0.0000 0.0000
0.0000 4.1784 0.0000
-3.9179 0.0000 11.5040
Na Pa Se
2 6 12
Cartesian
0.2915 1.0446 2.0957 Na
7.4099 3.1338 9.4083 Na
-0.4023 1.0446 6.4421 Pa
-0.3204 3.1338 11.3709 Pa
4.5023 1.0446 3.8142 Pa
3.1990 3.1338 7.6898 Pa
8.0217 1.0446 0.1330 Pa
8.1037 3.1338 5.0619 Pa
-0.6917 3.1338 4.4718 Se
-2.1791 1.0446 10.8687 Se
0.1394 3.1338 8.3242 Se
2.7651 3.1338 2.6734 Se
2.3545 1.0446 5.8012 Se
5.1532 1.0446 1.0429 Se
2.5482 3.1338 10.4611 Se
5.3469 3.1338 5.7028 Se
4.9363 1.0446 8.8306 Se
7.5620 1.0446 3.1798 Se
9.8805 3.1338 0.6353 Se
8.3931 1.0446 7.0321 Se
```

Results
Space group: P2_1/m
ΔE_f (raw), eV per atom: -1.2936
Energy above the lowest structure with this stoichiometry, meV/atom: 6.2
Magnetization, μB per cell: 8.1